# Dy6Tm3Sc | Alexandria | PBE | relaxed
# Polymorph energy (0 for the lowest one) (meV/atom): 96
# E_form (meV per atom): 238
# Total energy (eV per atom): -4.498
# D(E_F) (states/eV per cell): 56.35
data_Dy6Tm3Sc
_chemical_formula_sum 'Dy18 Tm9 Sc3'
_symmetry_space_group_name_H-M 'R 3'
_symmetry_Int_Tables_number 146
_symmetry_space_group_name_Hall 'R 3'
_cell_length_a 9.6411
_cell_length_b 9.6411
_cell_length_c 11.6927
_cell_angle_alpha 90.00
_cell_angle_beta 90.00
_cell_angle_gamma 120.00
loop_
_atom_site_label
_atom_site_type_symbol
_atom_site_fract_x
_atom_site_fract_y
_atom_site_fract_z
Dy1 Dy 0.0026 0.6799 0.0000
Dy2 Dy 0.0085 0.3339 0.4997
Tm1 Tm 0.0000 0.0000 0.1463
Tm2 Tm 0.0000 0.0000 0.3932
Tm3 Tm 0.0000 0.0000 0.6538
Sc1 Sc 0.0000 0.0000 0.8959